1.
The following is a DFT calculation (PBE) of an optimized crystal structure of Ti6CuPd.

```
Ti6CuPd
1.0
-1.299 -2.332 -3.522
5.270 -1.106 -1.211
-1.716 -4.060 3.322
Ti Pd Cu
6 1 1
Direct
0.000 0.252 0.748 Ti
0.500 0.500 0.000 Ti
0.500 0.000 0.500 Ti
0.000 0.748 0.748 Ti
0.000 0.252 0.252 Ti
0.000 0.748 0.252 Ti
0.500 0.000 0.000 Pd
0.500 0.500 0.500 Cu
```

Properties
The value obtained for the formation energy from the elements is -0.73 eV per formula unit. As for the space group: No. 65. For the calculated density, the calculation gives 5.9 g cm⁻³. The value obtained for the density of states at the Fermi level is 12.803 states/eV per cell. The crystal system is orthorhombic. For the total magnetization, the calculation gives 4.426 μB per cell. For the total energy, the calculation gives -57.4 eV/cell.


2.
The following is a DFT calculation (PBE) of an optimized crystal structure of CaLaLuIn.

```
CaLaLuIn
1.0
5.573 0.000 0.000
2.787 4.826 0.000
2.787 1.609 4.550
La Lu In Ca
1 1 1 1
Direct
0.250 0.250 0.250 La
0.750 0.750 0.750 Lu
0.000 0.000 0.000 In
0.500 0.500 0.500 Ca
```

Properties
The value obtained for the formation energy from the elements is -0.56 eV per formula unit. As for the space group: No. 216. For the calculated density, the calculation gives 6.4 g cm⁻³. The value obtained for the density of states at the Fermi level is 3.320 states/eV per cell. The crystal system is cubic. For the total magnetization, the calculation gives 0.003 μB per cell. For the total energy, the calculation gives -14.7 eV/cell.


3.
The following is a DFT calculation (PBE) of an optimized crystal structure of BeTl2Cr.

```
BeTl2Cr
1.0
-0.747 3.651 -1.639
-3.328 -0.747 -0.147
-2.251 1.926 5.316
Tl Be Cr
2 1 1
Direct
0.000 0.408 0.486 Tl
0.000 0.092 0.014 Tl
0.500 0.250 0.250 Be
0.500 0.750 0.750 Cr
```

Properties
The value obtained for the formation energy from the elements is 2.97 eV per formula unit. The calculation puts the energy above the most stable polymorph in this dataset at 215 meV/atom. As for the space group: No. 10. For the calculated density, the calculation gives 9.5 g cm⁻³. The value obtained for the density of states at the Fermi level is 1.789 states/eV per cell. The crystal system is monoclinic. For the total magnetization, the calculation gives 4.101 μB per cell. For the total energy, the calculation gives -15.1 eV/cell.


4.
The following is a DFT calculation (PBE) of an optimized crystal structure of YHfBr3.

```
YHfBr3
1.0
5.256 0.000 0.000
0.000 5.256 0.000
0.000 0.000 5.256
Hf Br Y
1 3 1
Direct
0.000 0.000 0.000 Hf
0.000 0.000 0.500 Br
0.000 0.500 0.000 Br
0.500 0.000 0.000 Br
0.500 0.500 0.500 Y
```

Properties
The calculation puts the energy above the most stable polymorph in this dataset at 0 meV/atom. As for the space group: No. 221. The calculation puts the uncorrected formation energy at -1.18 eV/f.u. For the calculated density, the calculation gives 5.8 g cm⁻³. The value obtained for the density of states at the Fermi level is 6.230 states/eV per cell. The crystal system is cubic. For the total magnetization, the calculation gives 1.880 μB per cell. For the total energy, the calculation gives -22.6 eV/cell.


5.
The following is a DFT calculation (PBE) of an optimized crystal structure of TeSeBr2.

```
TeSeBr2
1.0
-2.927 -1.603 2.533
1.103 -4.883 -1.816
3.790 -1.526 3.414
Br Te Se
2 1 1
Direct
0.000 0.997 0.997 Br
0.000 0.503 0.503 Br
0.500 0.750 0.750 Te
0.500 0.250 0.250 Se
```

Properties
The calculation puts the energy above the most stable polymorph in this dataset at 404 meV/atom. As for the space group: No. 65. The calculation puts the uncorrected formation energy at 0.95 eV/f.u. For the calculated density, the calculation gives 5.2 g cm⁻³. The value obtained for the density of states at the Fermi level is 2.939 states/eV per cell. The crystal system is orthorhombic. For the total magnetization, the calculation gives 0.000 μB per cell. For the total energy, the calculation gives -9.0 eV/cell.


> Which of these has the highest calculated density?

BeTl2Cr